(1)
A geometry-optimized BaNiRh2 structure, computed with GGA-PBE.

Structure (POSCAR):
```
BaNiRh2
1.0
2.963 -4.143 0.000
2.963 4.143 0.000
0.000 0.000 3.083
Ba Ni Rh
1 1 2
Direct
0.000 0.000 0.000 Ba
0.500 0.500 0.000 Ni
0.000 0.500 0.500 Rh
0.500 0.000 0.500 Rh
```

Crystal system   orthorhombic
DFT formation energy   0.624 eV per atom

***

(2)
A geometry-optimized ScSn2Pd8 structure, computed with GGA-PBE.

Structure (POSCAR):
```
ScSn2Pd8
1.0
-2.041 3.741 6.205
2.041 -3.741 6.205
2.041 3.741 -6.205
Sc Sn Pd
1 2 8
Direct
0.000 0.000 0.000 Sc
0.325 0.325 0.000 Sn
0.675 0.675 0.000 Sn
0.098 0.835 0.263 Pd
0.152 0.652 0.500 Pd
0.280 0.500 0.780 Pd
0.428 0.165 0.263 Pd
0.572 0.835 0.737 Pd
0.720 0.500 0.220 Pd
0.848 0.348 0.500 Pd
0.902 0.165 0.737 Pd
```

Crystal system   orthorhombic
ΔE to the lowest computed polymorph   0 meV/atom
DFT formation energy   -0.602 eV per atom